1.
TePIr, optimized geometry, DFT PBE; SG = F-43m; DFT total energy = -17.421 eV/cell; volume = 19.94 Å³/atom; ΔE_f (raw) = -3 meV per atom
1.0
0.000 3.104 3.104
3.104 0.000 3.104
3.104 3.104 0.000
Te P Ir
1 1 1
Direct
0.000 0.000 0.000
0.500 0.500 0.500
0.250 0.250 0.250

=====

2.
Te2PIr, optimized geometry, DFT PBE; SG = P4mm; DFT total energy = -19.960 eV/cell; volume = 24.47 Å³/atom; ΔE_f (raw) = 149 meV per atom
1.0
2.988 0.000 0.000
0.000 2.988 0.000
0.000 0.000 10.962
Te P Ir
2 1 1
Direct
0.000 0.000 0.000
0.500 0.500 0.365
0.500 0.500 0.704
0.000 0.000 0.590

=====

3.
Te4PIr, optimized geometry, DFT PBE; SG = F-43m; DFT total energy = -18.206 eV/cell; volume = 26.38 Å³/atom; ΔE_f (raw) = 1439 meV per atom
1.0
0.000 4.293 4.293
4.293 0.000 4.293
4.293 4.293 0.000
Te P Ir
4 1 1
Direct
0.124 0.124 0.124
0.124 0.124 0.627
0.124 0.627 0.124
0.627 0.124 0.124
0.500 0.500 0.500
0.750 0.750 0.750

=====

4.
TePIr2, optimized geometry, DFT PBE; SG = F-43m; DFT total energy = -23.089 eV/cell; volume = 16.92 Å³/atom; relative energy among the computed polymorphs = 1025 meV per atom; ΔE_f (raw) = 796 meV per atom
1.0
0.000 3.235 3.235
3.235 0.000 3.235
3.235 3.235 0.000
Te P Ir
1 1 2
Direct
0.000 0.000 0.000
0.750 0.750 0.750
0.250 0.250 0.250
0.500 0.500 0.500

=====

5.
TePIr, optimized geometry, DFT PBE; SG = Pbca; DFT total energy = -150.496 eV/cell; volume = 19.23 Å³/atom; ΔE_f (raw) = -467 meV per atom
1.0
6.101 0.000 0.000
0.000 6.117 0.000
0.000 0.000 12.370
Te P Ir
8 8 8
Direct
0.120 0.211 0.073
0.120 0.289 0.573
0.380 0.711 0.073
0.380 0.789 0.573
0.620 0.211 0.427
0.620 0.289 0.927
0.880 0.711 0.427
0.880 0.789 0.927
0.123 0.545 0.810
0.123 0.955 0.310
0.377 0.045 0.810
0.377 0.455 0.310
0.623 0.545 0.690
0.623 0.955 0.190
0.877 0.045 0.690
0.877 0.455 0.190
0.022 0.175 0.858
0.022 0.325 0.358
0.478 0.675 0.858
0.478 0.825 0.358
0.522 0.175 0.642
0.522 0.325 0.142
0.978 0.675 0.642
0.978 0.825 0.142

=====

6.
TePIr2, optimized geometry, DFT PBE; SG = Pmmm; DFT total energy = -25.613 eV/cell; volume = 19.36 Å³/atom; relative energy among the computed polymorphs = 394 meV per atom; ΔE_f (raw) = 165 meV per atom
1.0
3.561 0.000 0.000
0.000 3.909 0.000
0.000 0.000 5.565
Te P Ir
1 1 2
Direct
0.000 0.000 0.000
0.000 0.500 0.500
0.500 0.500 0.247
0.500 0.500 0.753

=====

7.
Te2PIr, optimized geometry, DFT PBE; SG = Imm2; DFT total energy = -19.699 eV/cell; volume = 23.72 Å³/atom; ΔE_f (raw) = 214 meV per atom
1.0
-1.719 2.409 5.727
1.719 -2.409 5.727
1.719 2.409 -5.727
Te P Ir
2 1 1
Direct
0.000 0.000 0.000
0.686 0.186 0.500
0.335 0.335 0.000
0.201 0.701 0.500

=====

8.
TePIr2, optimized geometry, DFT PBE; SG = I-42d; DFT total energy = -53.276 eV/cell; volume = 21.19 Å³/atom; relative energy among the computed polymorphs = 138 meV per atom; ΔE_f (raw) = -91 meV per atom
1.0
-2.603 2.603 6.255
2.603 -2.603 6.255
2.603 2.603 -6.255
Te P Ir
2 2 4
Direct
0.000 0.000 0.000
0.750 0.250 0.500
0.250 0.750 0.500
0.500 0.500 0.000
0.188 0.625 0.063
0.375 0.438 0.563
0.562 0.125 0.937
0.875 0.812 0.437